--- 1 ---
This record from the Alexandria database describes a relaxed KBe2Ni crystal. The functional is PBE.

abc: 2.8786 2.8786 7.4834
angles: 90.00 90.00 90.00
Last column: nearest neighbours and their distance in Å.
Element x y z (fractional)
Ni (0.5000, 0.5000, 0.8605)  5 Be 2.11-2.25
K (0.0000, 0.0000, 0.5081)  4 K 2.88
Be (0.0000, 0.0000, 0.9892)  4 Ni 2.25, 4 Be 2.34
Be (0.5000, 0.5000, 0.1422)  1 Ni 2.11, 4 Be 2.34

Computed properties:
D(E_F) = 2.51 states/eV/cell

---

--- 2 ---
This record from the Alexandria database describes a relaxed KBe2Ni crystal. The functional is PBE.

abc: 4.4959 4.4959 4.4959
angles: 60.00 60.00 60.00
Last column: nearest neighbours and their distance in Å.
Element x y z (fractional)
Ni (0.2500, 0.2500, 0.2500)  4 K 2.75, 4 Be 2.75
K (0.5000, 0.5000, 0.5000)  4 Be 2.75, 4 Ni 2.75
Be (0.0000, 0.0000, 0.0000)  4 Be 2.75, 4 Ni 2.75
Be (0.7500, 0.7500, 0.7500)  4 K 2.75, 4 Be 2.75

Computed properties:
D(E_F) = 1.60 states/eV/cell

---

--- 3 ---
This record from the Alexandria database describes a relaxed KBe2Ni crystal. The functional is PBE.

abc: 4.4801 4.4801 4.4801
angles: 60.00 60.00 60.00
Last column: nearest neighbours and their distance in Å.
Element x y z (fractional)
Ni (0.5000, 0.5000, 0.5000)  8 Be 2.74
K (0.0000, 0.0000, 0.0000)  8 Be 2.74
Be (0.2500, 0.2500, 0.2500)  4 K 2.74, 4 Ni 2.74
Be (0.7500, 0.7500, 0.7500)  4 Ni 2.74, 4 K 2.74

Computed properties:
D(E_F) = 2.47 states/eV/cell

---

--- 4 ---
This record from the Alexandria database describes a relaxed KBe2Ni crystal. The functional is PBE.

abc: 4.6849 4.6849 4.6849
angles: 128.19 128.19 76.32
Last column: nearest neighbours and their distance in Å.
Element x y z (fractional)
Ni (0.7500, 0.2500, 0.5000)  8 Be 2.75, 4 K 2.89
K (0.2500, 0.7500, 0.5000)  8 Be 2.75, 4 Ni 2.89
Be (0.0000, 0.0000, 0.0000)  4 Ni 2.75, 4 K 2.75, 4 Be 2.89
Be (0.5000, 0.5000, 0.0000)  4 K 2.75, 4 Ni 2.75, 4 Be 2.89

Computed properties:
D(E_F) = 1.71 states/eV/cell

---

In order of decreasing stability: 1, 4, 3, 2.

---

--- 1 ---
This record from the Alexandria database describes a relaxed KBe2Ni crystal. The functional is PBE.

abc: 5.5291 5.5291 5.5291
angles: 152.81 122.79 64.47
Last column: nearest neighbours and their distance in Å.
Element x y z (fractional)
Ni (0.8133, 0.3133, 0.5000)  2 Be 2.11
K (0.5044, 0.5044, 0.0000)  2 K 2.60
Be (0.9916, 0.9916, 0.0000)  2 Ni 2.11, 2 Be 2.27
Be (0.1907, 0.6907, 0.5000)  2 Be 2.27

Computed properties:
D(E_F) = 1.59 states/eV/cell

---

--- 2 ---
This record from the Alexandria database describes a relaxed KBe2Ni crystal. The functional is PBE.

abc: 3.6328 2.6731 7.0684
angles: 90.84 90.00 90.00
Last column: nearest neighbours and their distance in Å.
Element x y z (fractional)
Ni (0.5000, 0.6177, 0.9105)  6 Be 2.12-2.26
K (0.0000, 0.6355, 0.5107)  2 K 2.67
Be (0.0000, 0.1199, 0.9357)  4 Ni 2.26, 2 Be 2.33
Be (0.5000, 0.1269, 0.1431)  2 Ni 2.12, 2 Be 2.33

Computed properties:
D(E_F) = 1.19 states/eV/cell

---

In order of decreasing stability: 2, 1.

---

--- 1 ---
This record from the Alexandria database describes a relaxed KBe2Ni crystal. The functional is PBE.

abc: 3.0797 2.6817 7.9557
angles: 69.57 90.00 90.00
Last column: nearest neighbours and their distance in Å.
Element x y z (fractional)
Ni (0.5000, 0.7500, 0.7500)  8 Be 2.29-2.30
K (0.5000, 0.2500, 0.2500)  2 K 2.68
Be (0.0000, 0.1062, 0.8902)  1 Be 2.09, 4 Ni 2.29-2.30
Be (0.0000, 0.3938, 0.6098)  1 Be 2.09, 4 Ni 2.29-2.30

Computed properties:
D(E_F) = 2.66 states/eV/cell

---

--- 2 ---
This record from the Alexandria database describes a relaxed KBe2Ni crystal. The functional is PBE.

abc: 5.7593 5.7593 5.7593
angles: 153.68 122.60 64.21
Last column: nearest neighbours and their distance in Å.
Element x y z (fractional)
Ni (0.7500, 0.2500, 0.5000)  4 Be 2.15
K (0.2500, 0.7500, 0.5000)  2 K 2.62
Be (0.9243, 0.9243, 0.0000)  2 Ni 2.15
Be (0.5757, 0.5757, 0.0000)  2 Ni 2.15

Computed properties:
D(E_F) = 0.83 states/eV/cell

---

In order of decreasing stability: 1, 2.

---

--- 1 ---
This record from the Alexandria database describes a relaxed KBe2Ni crystal. The functional is PBE.

abc: 3.8099 3.8099 6.2029
angles: 74.03 74.03 59.95
Last column: nearest neighbours and their distance in Å.
Element x y z (fractional)
Ni (0.6750, 0.6750, 0.9784)  6 Be 2.20-2.22
K (0.4942, 0.4942, 0.5028)  1 Be 3.03, 1 Ni 3.09
Be (0.0016, 0.0016, 0.0003)  3 Be 2.20, 3 Ni 2.20
Be (0.3292, 0.3292, 0.0185)  3 Be 2.20, 3 Ni 2.21-2.22

Computed properties:
D(E_F) = 1.03 states/eV/cell

---

--- 2 ---
This record from the Alexandria database describes a relaxed KBe2Ni crystal. The functional is PBE.

abc: 4.2562 3.9504 3.9504
angles: 90.00 90.00 90.00
Last column: nearest neighbours and their distance in Å.
Element x y z (fractional)
Ni (0.5000, 0.0000, 0.5000)  4 K 2.79, 8 Be 2.90
K (0.5000, 0.5000, 0.0000)  4 Ni 2.79, 8 Be 2.90
Be (0.0000, 0.0000, 0.0000)  4 Be 2.79, 4 K 2.90, 4 Ni 2.90
Be (0.0000, 0.5000, 0.5000)  4 Be 2.79, 4 K 2.90, 4 Ni 2.90

Computed properties:
D(E_F) = 2.61 states/eV/cell

---

In order of decreasing stability: 1, 2.